VASP calculation (GGA-PBE) on AlTl3F after structural relaxation.

Output
DFT total energy, eV/cell: -14.4
Magnetization, μB/cell: 0.00
Uncorrected formation energy, eV per atom: -0.33
Symmetry: No. 221
Energy above the lowest structure with this stoichiometry, eV/atom: 0.000

abc: 5.199 5.199 5.199
angles: 90.00 90.00 90.00
Positions (direct):
F: 0.000 0.000 0.000
Tl: 0.000 0.500 0.000
Tl: 0.500 0.000 0.000
Tl: 0.000 0.000 0.500
Al: 0.500 0.500 0.500